The following is a GGA-PBE calculation of crystalline DyThMg at its relaxed geometry, from Alexandria via LeMat-Bulk. Values from VASP.

Properties
total energy	-4.528	eV per atom
size of the total moment	0.00	μB per cell
energy above the lowest structure with this stoichiometry	35	meV/atom
DOS at the Fermi energy	0.947	states/eV per atom

Cell and atoms, written as Quantum ESPRESSO input:
```
&SYSTEM
  ibrav = 0, nat = 6, ntyp = 3
/
ATOMIC_SPECIES
Dy 162.50 Dy.upf
Th 232.04 Th.upf
Mg 24.30 Mg.upf
CELL_PARAMETERS angstrom
3.6486 0.0000 0.0000
0.0000 3.6486 0.0000
0.0000 0.0000 13.3055
ATOMIC_POSITIONS crystal
Dy 0.2500 0.2500 0.0895
Dy 0.7500 0.7500 0.9105
Th 0.2500 0.2500 0.4080
Th 0.7500 0.7500 0.5920
Mg 0.2500 0.2500 0.7585
Mg 0.7500 0.7500 0.2415
```

---

The following is a GGA-PBE calculation of crystalline AgBi2OsO6 at its relaxed geometry, from Alexandria via LeMat-Bulk. Values from VASP.

Properties
total energy	-6.064	eV per atom
size of the total moment	2.95	μB per cell
DOS at the Fermi energy	0.250	states/eV per atom

Cell and atoms, written as Quantum ESPRESSO input:
```
&SYSTEM
  ibrav = 0, nat = 10, ntyp = 4
/
ATOMIC_SPECIES
Ag 107.87 Ag.upf
Bi 208.98 Bi.upf
Os 190.23 Os.upf
O 16.00 O.upf
CELL_PARAMETERS angstrom
2.9467 1.7013 4.9995
-2.9467 1.7013 4.9995
0.0000 -3.4025 4.9995
ATOMIC_POSITIONS crystal
Ag 0.0000 0.0000 0.0000
Bi 0.2446 0.2446 0.2446
Bi 0.7610 0.7610 0.7610
Os 0.4525 0.4525 0.4525
O 0.1018 0.6227 0.3695
O 0.2119 0.5574 0.7881
O 0.3695 0.1018 0.6227
O 0.5574 0.7881 0.2119
O 0.6227 0.3695 0.1018
O 0.7881 0.2119 0.5574
```

---

The following is a GGA-PBE calculation of crystalline Sr6Ir7 at its relaxed geometry, from Alexandria via LeMat-Bulk. Values from VASP.

Properties
total energy	-5.665	eV per atom
size of the total moment	0.00	μB per cell
DOS at the Fermi energy	0.785	states/eV per atom

Cell and atoms, written as Quantum ESPRESSO input:
```
&SYSTEM
  ibrav = 0, nat = 13, ntyp = 2
/
ATOMIC_SPECIES
Sr 87.62 Sr.upf
Ir 192.22 Ir.upf
CELL_PARAMETERS angstrom
2.7441 1.5843 12.4711
-2.7441 1.5843 12.4711
0.0000 -3.1686 12.4711
ATOMIC_POSITIONS crystal
Sr 0.0662 0.0662 0.0662
Sr 0.1524 0.1524 0.1524
Sr 0.3683 0.3683 0.3683
Sr 0.6317 0.6317 0.6317
Sr 0.8476 0.8476 0.8476
Sr 0.9338 0.9338 0.9338
Ir 0.0996 0.6117 0.6117
Ir 0.3883 0.3883 0.9004
Ir 0.3883 0.9004 0.3883
Ir 0.5000 0.5000 0.5000
Ir 0.6117 0.0996 0.6117
Ir 0.6117 0.6117 0.0996
Ir 0.9004 0.3883 0.3883
```

---

The following is a GGA-PBE calculation of crystalline Nd6DyEr3 at its relaxed geometry, from Alexandria via LeMat-Bulk. Values from VASP.

Properties
total energy	-4.471	eV per atom
size of the total moment	0.00	μB per cell
energy above the lowest structure with this stoichiometry	76	meV/atom
DOS at the Fermi energy	1.492	states/eV per atom

Cell and atoms, written as Quantum ESPRESSO input:
```
&SYSTEM
  ibrav = 0, nat = 20, ntyp = 3
/
ATOMIC_SPECIES
Nd 144.24 Nd.upf
Dy 162.50 Dy.upf
Er 167.26 Er.upf
CELL_PARAMETERS angstrom
5.5256 0.0000 0.0000
0.0000 10.2890 0.0000
-2.4126 0.0000 12.2431
ATOMIC_POSITIONS crystal
Nd 0.0067 0.1837 0.0044
Nd 0.0067 0.3163 0.5044
Nd 0.1085 0.0043 0.7688
Nd 0.1085 0.4957 0.2688
Nd 0.4198 0.1720 0.3541
Nd 0.4198 0.3280 0.8541
Nd 0.5802 0.6720 0.1459
Nd 0.5802 0.8280 0.6459
Nd 0.8915 0.5043 0.7312
Nd 0.8915 0.9957 0.2312
Nd 0.9933 0.6837 0.4956
Nd 0.9933 0.8163 0.9956
Dy 0.0000 0.0000 0.5000
Dy 0.0000 0.5000 0.0000
Er 0.4211 0.6688 0.8655
Er 0.4211 0.8312 0.3655
Er 0.5000 0.0000 0.0000
Er 0.5000 0.5000 0.5000
Er 0.5789 0.1688 0.6345
Er 0.5789 0.3312 0.1345
```

---

The following is a GGA-PBE calculation of crystalline KSr2HfPd at its relaxed geometry, from Alexandria via LeMat-Bulk. Values from VASP.

Properties
total energy	-3.769	eV per atom
size of the total moment	0.00	μB per cell
DOS at the Fermi energy	0.838	states/eV per atom

Cell and atoms, written as Quantum ESPRESSO input:
```
&SYSTEM
  ibrav = 0, nat = 5, ntyp = 4
/
ATOMIC_SPECIES
K 39.10 K.upf
Sr 87.62 Sr.upf
Hf 178.49 Hf.upf
Pd 106.42 Pd.upf
CELL_PARAMETERS angstrom
6.1620 0.0000 0.0000
0.0000 6.1620 0.0000
0.0000 0.0000 5.1672
ATOMIC_POSITIONS crystal
K 0.0000 0.0000 0.0000
Sr 0.0000 0.5000 0.5000
Sr 0.5000 0.0000 0.5000
Hf 0.5000 0.5000 0.0000
Pd 0.5000 0.5000 0.5000
```

---

The following is a GGA-PBE calculation of crystalline AcZr2 at its relaxed geometry, from Alexandria via LeMat-Bulk. Values from VASP.

Properties
total energy	-6.756	eV per atom
size of the total moment	1.66	μB per cell
energy above the lowest structure with this stoichiometry	54	meV/atom
DOS at the Fermi energy	2.557	states/eV per atom

Cell and atoms, written as Quantum ESPRESSO input:
```
&SYSTEM
  ibrav = 0, nat = 6, ntyp = 2
/
ATOMIC_SPECIES
Ac 227.00 Ac.upf
Zr 91.22 Zr.upf
CELL_PARAMETERS angstrom
0.0000 4.4188 4.4188
4.4188 0.0000 4.4188
4.4188 4.4188 0.0000
ATOMIC_POSITIONS crystal
Ac 0.1250 0.1250 0.1250
Ac 0.8750 0.8750 0.8750
Zr 0.0000 0.5000 0.5000
Zr 0.5000 0.0000 0.5000
Zr 0.5000 0.5000 0.0000
Zr 0.5000 0.5000 0.5000
```

---

Which formula does entry 2 have? AgBi2OsO6

---

What is the formula in the first record? DyThMg

---

Which of these has the highest size of the total moment? AgBi2OsO6